DFT (GGA-PBE) results for a geometry-optimized TiP2Se6 structure.

CIF file:
```
data_TiP2Se6
_cell_length_a 8.298
_cell_length_b 8.298
_cell_length_c 8.298
_cell_angle_alpha 46.08
_cell_angle_beta 46.08
_cell_angle_gamma 46.08
_space_group_name_H-M_alt 'P 1'
_space_group_IT_number 1
_space_group_name_Hall 'P 1'
loop_
_atom_site_label
_atom_site_type_symbol
_atom_site_fract_x
_atom_site_fract_y
_atom_site_fract_z
Ti1 Ti 0.000 0.000 0.000
P1 P 0.617 0.617 0.617
P2 P 0.716 0.716 0.716
Se1 Se 0.040 0.805 0.387
Se2 Se 0.233 0.649 0.885
Se3 Se 0.387 0.040 0.805
Se4 Se 0.649 0.885 0.233
Se5 Se 0.805 0.387 0.040
Se6 Se 0.885 0.233 0.649
```

Properties
The space-group type is R3. As for the calculated total energy: -43.55 eV for the cell shown.